An optimized crystal structure of NiAsCl2. Source: Alexandria via LeMat-Bulk, functional PBE-GGA.

- Calculated density: 3.696 g cm⁻³
- Space-group type: Cmm2 (35)
- Size of the total moment: 0.000 μB/atom
- E: -3.615 eV/atom

```
NiAsCl2
1.0
1.724 -3.123 0.000
1.724 3.123 0.000
0.000 0.000 8.532
Ni As Cl
1 1 2
Cartesian
0.000 0.000 0.000
1.724 0.000 7.084
0.000 0.000 5.041
1.724 0.000 1.463
```



An optimized crystal structure of BeBi2Br. Source: Alexandria via LeMat-Bulk, functional PBE-GGA.

- Calculated density: 6.344 g cm⁻³
- Space-group type: I-42d (122)
- Size of the total moment: 0.000 μB/atom
- E: -2.957 eV/atom

```
BeBi2Br
1.0
-3.219 3.219 6.402
3.219 -3.219 6.402
3.219 3.219 -6.402
Be Bi Br
2 4 2
Cartesian
0.000 0.000 0.000
0.000 3.219 3.201
4.828 1.013 -1.601
1.013 1.609 1.601
-1.609 2.206 4.802
2.206 1.609 8.003
3.219 0.000 3.201
0.000 0.000 6.402
```



| no. | formation energy without anion corrections (eV per atom) |
| --- | --- |
| 1 | -0.084 |
| 2 | 0.334 |